Entry 1:
The following is a DFT calculation (PBE) of a relaxed Fe2AuSe crystal.

Geometry as POSCAR:
```
Fe2AuSe
1.0
2.920 0.000 0.000
0.000 3.851 -0.795
0.000 1.288 6.255
Fe Se Au
2 1 1
direct
0.000 0.250 0.559 Fe
0.000 0.250 0.941 Fe
0.500 0.250 0.250 Se
0.500 0.750 0.750 Au
```

Values from the calculation:
The calculation puts the density at 8.78 g/cm³. The calculation puts the uncorrected energy at -22.82 eV per cell. As for the total moment: 1.5284 μB per atom. Its uncorrected formation energy is 0.22 eV/atom.

=====

Entry 2:
The following is a DFT calculation (PBE) of a relaxed Ba2Mg2H crystal.

Geometry as POSCAR:
```
Ba2Mg2H
1.0
7.069 0.000 0.000
0.000 7.069 0.000
3.534 3.534 3.765
H Mg Ba
1 2 2
direct
0.000 0.000 0.000 H
0.301 0.301 0.398 Mg
0.699 0.699 0.602 Mg
0.750 0.250 0.500 Ba
0.250 0.750 0.500 Ba
```

Values from the calculation:
The calculation puts the density at 2.86 g/cm³. The calculation puts the uncorrected energy at -8.27 eV per cell. As for the total moment: 0.0347 μB per atom.

=====

Entry 3:
The following is a DFT calculation (PBE) of a relaxed PmTm5Sc4 crystal.

Geometry as POSCAR:
```
PmTm5Sc4
1.0
-1.696 -4.511 -2.332
10.134 -1.635 -4.207
2.555 -5.184 8.169
Tm Pm Sc
10 2 8
direct
0.750 0.701 0.699 Tm
0.250 0.799 0.801 Tm
0.250 0.799 0.199 Tm
0.750 0.299 0.699 Tm
0.749 0.500 0.000 Tm
0.250 0.201 0.801 Tm
0.250 0.201 0.199 Tm
0.750 0.701 0.301 Tm
0.750 0.299 0.301 Tm
0.251 0.000 0.500 Tm
0.250 0.000 0.000 Pm
0.750 0.500 0.500 Pm
0.750 0.000 0.250 Sc
0.250 0.500 0.750 Sc
0.750 0.194 0.000 Sc
0.250 0.694 0.500 Sc
0.250 0.306 0.500 Sc
0.750 0.806 0.000 Sc
0.750 0.000 0.750 Sc
0.250 0.500 0.250 Sc
```

Values from the calculation:
The calculation puts the density at 6.54 g/cm³. The calculation puts the uncorrected energy at -98.95 eV per cell. As for the total moment: 0.0000 μB per atom. As for the formation enthalpy at 0 K: 296 meV per atom.

=====

Entry 4:
The following is a DFT calculation (PBE) of a relaxed DyTm2Mg2Sc2 crystal.

Geometry as POSCAR:
```
DyTm2Mg2Sc2
1.0
-1.355 -4.443 2.481
1.287 -4.668 -2.070
6.633 -2.913 3.994
Mg Sc Dy Tm
2 2 1 2
direct
0.289 0.289 0.132 Mg
0.711 0.711 0.868 Mg
0.429 0.429 0.713 Sc
0.571 0.571 0.287 Sc
0.000 0.000 0.000 Dy
0.846 0.846 0.462 Tm
0.154 0.154 0.538 Tm
```

Values from the calculation:
The calculation puts the density at 5.74 g/cm³. The calculation puts the uncorrected energy at -29.31 eV per cell. As for the total moment: 0.0000 μB per atom. As for the formation enthalpy at 0 K: 13 meV per atom.

=====

Entry 5:
The following is a DFT calculation (PBE) of a relaxed DyMgSi2Pd2 crystal.

Geometry as POSCAR:
```
DyMgSi2Pd2
1.0
-3.256 -2.462 1.183
3.504 -1.756 -1.645
2.650 -0.523 6.201
Si Dy Mg Pd
2 1 1 2
direct
0.333 0.667 0.273 Si
0.667 0.333 0.727 Si
0.000 0.000 0.000 Dy
0.000 0.000 0.500 Mg
0.333 0.667 0.685 Pd
0.667 0.333 0.315 Pd
```

Values from the calculation:
The calculation puts the density at 7.15 g/cm³. The calculation puts the uncorrected energy at -32.07 eV per cell. As for the total moment: 0.0000 μB per atom. Its uncorrected formation energy is -0.77 eV/atom.

=====

Entry 6:
The following is a DFT calculation (PBE) of a relaxed Sm3GaSi3 crystal.

Geometry as POSCAR:
```
Sm3GaSi3
1.0
3.873 0.000 -0.845
-0.214 4.225 -0.982
0.050 -0.017 9.527
Si Ga Sm
3 1 3
direct
0.567 0.567 0.134 Si
0.853 0.353 0.706 Si
0.145 0.645 0.291 Si
0.434 0.434 0.867 Ga
0.003 0.003 0.007 Sm
0.314 0.814 0.629 Sm
0.683 0.183 0.367 Sm
```

Values from the calculation:
The calculation puts the density at 6.44 g/cm³. The calculation puts the uncorrected energy at -38.64 eV per cell. As for the total moment: 0.0000 μB per atom. Its uncorrected formation energy is -0.74 eV/atom.

=====

Entry 7:
The following is a DFT calculation (PBE) of a relaxed Ac2MgAg4 crystal.

Geometry as POSCAR:
```
Ac2MgAg4
1.0
4.782 0.000 0.000
0.000 5.167 -2.903
0.000 -0.959 8.620
Mg Ag Ac
1 4 2
direct
0.000 0.500 0.000 Mg
0.000 0.421 0.634 Ag
0.000 0.579 0.366 Ag
0.500 0.539 0.851 Ag
0.500 0.461 0.149 Ag
0.500 0.899 0.687 Ac
0.500 0.101 0.313 Ac
```

Values from the calculation:
The calculation puts the density at 7.57 g/cm³. The calculation puts the uncorrected energy at -22.18 eV per cell. As for the total moment: 0.0000 μB per atom. As for the formation enthalpy at 0 K: -138 meV per atom.

=====

Entry 8:
The following is a DFT calculation (PBE) of a relaxed Sb2PRuSe crystal.

Geometry as POSCAR:
```
Sb2PRuSe
1.0
-2.673 -1.012 4.600
2.608 -3.631 0.717
3.529 3.073 2.727
Ru Sb Se P
1 2 1 1
direct
0.000 0.500 0.000 Ru
0.000 0.000 0.500 Sb
0.500 0.000 0.000 Sb
0.000 0.000 0.000 Se
0.500 0.500 0.500 P
```

Values from the calculation:
The calculation puts the density at 5.68 g/cm³. The calculation puts the uncorrected energy at -20.62 eV per cell. As for the total moment: 0.1779 μB per atom. Its uncorrected formation energy is 1.16 eV/atom.

=====

Entry 9:
The following is a DFT calculation (PBE) of a relaxed CaNbPtO6 crystal.

Geometry as POSCAR:
```
CaNbPtO6
1.0
4.892 0.000 0.000
0.000 4.892 0.000
0.000 0.000 9.647
Nb O Ca Pt
2 12 2 2
direct
0.500 0.500 0.170 Nb
0.000 0.000 0.670 Nb
0.213 0.787 0.813 O
0.713 0.713 0.313 O
0.287 0.287 0.313 O
0.711 0.711 0.687 O
0.789 0.211 0.187 O
0.174 0.826 0.498 O
0.826 0.174 0.498 O
0.211 0.789 0.187 O
0.787 0.213 0.813 O
0.326 0.326 0.998 O
0.289 0.289 0.687 O
0.674 0.674 0.998 O
0.500 0.500 0.504 Ca
0.000 0.000 0.004 Ca
0.500 0.500 0.831 Pt
0.000 0.000 0.331 Pt
```

Values from the calculation:
The calculation puts the density at 6.10 g/cm³. The calculation puts the uncorrected energy at -127.83 eV per cell. As for the total moment: 0.0001 μB per atom. Its uncorrected formation energy is -1.78 eV/atom.

=====

Entry 10:
The following is a DFT calculation (PBE) of a relaxed LaMn2Co crystal.

Geometry as POSCAR:
```
LaMn2Co
1.0
5.612 -0.153 -0.142
2.876 4.822 0.142
-3.681 -3.358 2.591
Mn Co La
2 1 1
direct
0.462 0.462 0.000 Mn
0.038 0.038 0.000 Mn
0.250 0.750 0.500 Co
0.750 0.250 0.500 La
```

Values from the calculation:
The calculation puts the density at 7.01 g/cm³. The calculation puts the uncorrected energy at -29.06 eV per cell. As for the total moment: 2.0467 μB per atom. As for the formation enthalpy at 0 K: 328 meV per atom.

=====

Entry 11:
The following is a DFT calculation (PBE) of a relaxed K2AgIr crystal.

Geometry as POSCAR:
```
K2AgIr
1.0
-0.589 2.268 -11.933
0.422 -11.936 -2.289
-2.666 -4.946 -7.005
K Ir Ag
4 2 2
direct
0.881 0.625 0.250 K
0.869 0.125 0.250 K
0.375 0.131 0.750 K
0.875 0.119 0.750 K
0.000 0.000 0.000 Ir
0.750 0.250 0.500 Ir
0.500 0.500 0.000 Ag
0.250 0.750 0.500 Ag
```

Values from the calculation:
The calculation puts the density at 3.28 g/cm³. The calculation puts the uncorrected energy at -21.76 eV per cell. As for the total moment: 0.1546 μB per atom. As for the formation enthalpy at 0 K: 757 meV per atom.

=====

Entry 12:
The following is a DFT calculation (PBE) of a relaxed PmZr2Rh2 crystal.

Geometry as POSCAR:
```
PmZr2Rh2
1.0
4.258 0.000 -1.591
-0.594 4.216 -1.591
-0.061 -0.070 6.330
Zr Rh Pm
2 2 1
direct
0.750 0.250 0.500 Zr
0.250 0.750 0.500 Zr
0.619 0.619 0.239 Rh
0.381 0.381 0.761 Rh
0.000 0.000 0.000 Pm
```

Values from the calculation:
The calculation puts the density at 7.86 g/cm³. The calculation puts the uncorrected energy at -39.61 eV per cell. As for the total moment: 0.0000 μB per atom. As for the formation enthalpy at 0 K: -612 meV per atom.